A plane-wave DFT calculation with GGA-PBEsol was carried out for a relaxed structure of BeAlCo2.

The formation energy comes out at -40.1 kJ/mol of atoms. The total moment is 0.0 μB/f.u. As for the crystal system: tetragonal. The electronic total energy is -25.2 eV/cell.

The space group is P4/mmm (No. 123) and the conventional cell measures 3.811, 3.811 and 2.743 Å, with angles of 90.00, 90.00 and 90.00 degrees. The distinct sites, in fractional coordinates, are Be at (0.000, 0.000, 0.000), Al at (0.500, 0.500, 0.000) and Co at (0.000, 0.500, 0.500).

***

A plane-wave DFT calculation with GGA-PBEsol was carried out for a relaxed structure of CeLu3S6.

The value obtained for the energy relative to the elements, uncorrected is -2.09 eV per atom. The total moment is 0.9 μB/f.u. As for the crystal system: monoclinic. The electronic total energy is -136.9 eV/cell.

The space group is P2_1/m (No. 11) and the conventional cell measures 10.754, 3.847 and 11.012 Å, with angles of 90.00, 108.91 and 90.00 degrees. The distinct sites, in fractional coordinates, are Ce at (0.050, 0.250, 0.196), Lu at (0.159, 0.250, 0.586), Lu at (0.321, 0.750, 0.000), Lu at (0.442, 0.250, 0.334), S at (0.084, 0.750, 0.407), S at (0.121, 0.250, 0.964), S at (0.197, 0.750, 0.751), S at (0.266, 0.750, 0.229), S at (0.392, 0.250, 0.557) and S at (0.481, 0.250, 0.114).